# 1
CaYB (PBE-GGA, optimized geometry); energy of formation from the pure elements = 0.070 eV per atom; excess energy over the best structure of this formula in the dataset = 0.81 eV/f.u.
1.0
7.8190 0.0000 0.0000
0.0000 4.7589 0.0000
0.0000 0.0000 7.1604
Ca Y B
4 4 4
Cartesian
0.4167 1.1897 1.1983
3.4928 3.5692 4.7785
4.3263 1.1897 2.3819
7.4023 3.5692 5.9621
1.1852 1.1897 4.3365
2.7243 3.5692 0.7563
5.0947 1.1897 6.4041
6.6339 3.5692 2.8239
1.3986 3.5692 2.9976
2.5109 1.1897 6.5778
5.3082 3.5692 0.5826
6.4204 1.1897 4.1628


# 2
CaYB3 (PBE-GGA, optimized geometry); energy of formation from the pure elements = 1.486 eV per atom; excess energy over the best structure of this formula in the dataset = 0.00 eV/f.u.
1.0
4.6745 0.0000 0.0000
0.0000 4.6745 0.0000
0.0000 0.0000 4.6745
Ca Y B
1 1 3
Cartesian
0.0000 0.0000 0.0000
2.3373 2.3373 2.3373
0.0000 2.3373 2.3373
2.3373 0.0000 2.3373
2.3373 2.3373 0.0000


# 3
CaYB (PBE-GGA, optimized geometry); energy of formation from the pure elements = -0.170 eV per atom; excess energy over the best structure of this formula in the dataset = 0.09 eV/f.u.
1.0
3.4550 0.0000 0.0000
1.7274 2.9928 0.0000
1.7156 -0.9837 13.5996
Ca Y B
2 2 2
Cartesian
0.0000 0.0000 0.0000
1.7189 1.0139 3.2979
3.4506 0.0143 10.2846
3.4508 0.0147 6.6125
3.4505 2.0095 8.4624
5.1786 1.0122 8.4346


# 4
CaYB (PBE-GGA, optimized geometry); energy of formation from the pure elements = 0.673 eV per atom; excess energy over the best structure of this formula in the dataset = 2.62 eV/f.u.
1.0
4.6232 0.0000 0.0000
-2.3116 4.0038 0.0000
0.0000 0.0000 9.8403
Ca Y B
2 2 2
Cartesian
0.0000 2.6692 2.4601
2.3116 1.3346 7.3802
0.0000 0.0000 0.0000
0.0000 0.0000 4.9202
0.0000 0.0000 2.4601
0.0000 0.0000 7.3802


# 5
CaYB2 (PBE-GGA, optimized geometry); energy of formation from the pure elements = 0.473 eV per atom; excess energy over the best structure of this formula in the dataset = 0.00 eV/f.u.
1.0
0.0000 3.2378 3.2378
3.2378 0.0000 3.2378
3.2378 3.2378 0.0000
Ca Y B
1 1 2
Cartesian
0.0000 0.0000 0.0000
3.2378 3.2378 3.2378
1.6189 1.6189 1.6189
4.8567 4.8567 4.8567


# 6
CaYB (PBE-GGA, optimized geometry); energy of formation from the pure elements = -0.081 eV per atom; excess energy over the best structure of this formula in the dataset = 0.36 eV/f.u.
1.0
6.9319 -1.6392 0.0000
6.9319 1.6392 0.0000
-1.3985 0.0000 6.5595
Ca Y B
2 2 2
Cartesian
0.0000 0.0000 0.0000
7.1449 0.0000 3.3733
3.6262 0.0000 3.5906
10.4354 0.0000 0.1459
5.1192 0.0000 1.5262
12.0813 0.0000 2.0882


# 7
CaYB (PBE-GGA, optimized geometry); energy of formation from the pure elements = 0.060 eV per atom; excess energy over the best structure of this formula in the dataset = 0.78 eV/f.u.
1.0
6.6427 -2.0065 0.0000
6.6427 2.0065 0.0000
-0.0059 0.0000 5.9754
Ca Y B
2 2 2
Cartesian
0.0000 0.0000 0.0000
2.7528 0.0000 2.9836
6.0770 0.0000 2.9878
9.9516 0.0000 5.9716
11.3342 0.0000 2.1828
11.3325 0.0000 3.7882


# 8
CaYB2 (PBE-GGA, optimized geometry); energy of formation from the pure elements = 0.824 eV per atom; excess energy over the best structure of this formula in the dataset = 1.41 eV/f.u.
1.0
-3.4643 3.4643 3.4152
3.4643 -3.4643 3.4152
3.4643 3.4643 -3.4152
Ca Y B
2 2 4
Cartesian
0.0000 0.0000 0.0000
0.0000 3.4643 1.7076
3.4643 0.0000 1.7076
0.0000 0.0000 3.4152
1.7322 -1.6488 2.5614
1.8155 1.7322 0.8538
1.7322 5.1131 -0.8538
1.6488 1.7322 4.2690


# 9
CaYB (PBE-GGA, optimized geometry); energy of formation from the pure elements = 0.041 eV per atom; excess energy over the best structure of this formula in the dataset = 0.72 eV/f.u.
1.0
6.1979 -1.7799 0.0000
6.1979 1.7799 0.0000
-6.0459 0.0000 7.0317
Ca Y B
2 2 2
Cartesian
0.0000 0.0000 0.0000
-3.1092 0.0000 5.3516
6.1313 0.0000 3.5147
9.1312 0.0000 1.9818
1.8559 0.0000 3.6110
1.0160 0.0000 5.0169


# 10
CaYB (PBE-GGA, optimized geometry); energy of formation from the pure elements = 0.144 eV per atom; excess energy over the best structure of this formula in the dataset = 1.03 eV/f.u.
1.0
4.5947 0.0000 0.0000
0.0000 4.5947 0.0000
0.0000 0.0000 7.1533
Ca Y B
2 2 2
Cartesian
1.1487 1.1487 1.4200
3.4460 3.4460 5.7333
1.1487 1.1487 4.6274
3.4460 3.4460 2.5259
1.1487 3.4460 3.5767
3.4460 1.1487 3.5767


# 11
CaYB (PBE-GGA, optimized geometry); energy of formation from the pure elements = 0.231 eV per atom; excess energy over the best structure of this formula in the dataset = 1.29 eV/f.u.
1.0
0.0000 3.2572 3.2572
3.2572 0.0000 3.2572
3.2572 3.2572 0.0000
Ca Y B
1 1 1
Cartesian
0.0000 0.0000 0.0000
3.2572 3.2572 3.2572
4.8857 4.8857 4.8857


# 12
CaYB (PBE-GGA, optimized geometry); energy of formation from the pure elements = 0.099 eV per atom; excess energy over the best structure of this formula in the dataset = 0.90 eV/f.u.
1.0
3.4445 -3.4454 0.0000
3.4445 3.4454 0.0000
-0.1268 0.0000 6.1161
Ca Y B
2 2 2
Cartesian
1.6425 0.0000 2.5515
5.1198 0.0000 3.5646
3.4445 1.7038 0.0000
3.4445 -1.7038 0.0000
1.5614 0.0000 5.0952
5.2010 0.0000 1.0208


# 13
CaYB (PBE-GGA, optimized geometry); energy of formation from the pure elements = 0.085 eV per atom; excess energy over the best structure of this formula in the dataset = 0.85 eV/f.u.
1.0
6.1803 -1.8053 0.0000
6.1803 1.8053 0.0000
-6.1154 0.0000 6.6775
Ca Y B
2 2 2
Cartesian
1.6861 0.0000 0.9306
4.5591 0.0000 5.7468
-1.3167 0.0000 2.4540
7.5619 0.0000 4.2235
0.4719 0.0000 5.9658
5.7733 0.0000 0.7116


# 14
CaY2B2 (PBE-GGA, optimized geometry); energy of formation from the pure elements = -0.066 eV per atom
1.0
6.9106 0.0000 0.0000
0.0000 6.9106 0.0000
0.0000 0.0000 4.1635
Ca Y B
2 4 4
Cartesian
0.0000 0.0000 0.0000
3.4553 3.4553 0.0000
1.1762 2.2791 2.0817
2.2791 5.7344 2.0817
4.6315 1.1762 2.0817
5.7344 4.6315 2.0817
0.5820 4.0373 0.0000
2.8733 0.5820 0.0000
4.0373 6.3286 0.0000
6.3286 2.8733 0.0000


# 15
CaYB3 (PBE-GGA, optimized geometry); energy of formation from the pure elements = 1.748 eV per atom; excess energy over the best structure of this formula in the dataset = 1.31 eV/f.u.
1.0
4.5025 0.0000 0.0000
0.0000 4.5025 0.0000
0.0000 0.0000 4.5025
Ca Y B
1 1 3
Cartesian
0.0000 0.0000 0.0000
2.2512 2.2512 2.2512
0.0000 0.0000 2.2512
0.0000 2.2512 0.0000
2.2512 0.0000 0.0000


# 16
CaYB (PBE-GGA, optimized geometry); energy of formation from the pure elements = -0.015 eV per atom; excess energy over the best structure of this formula in the dataset = 0.56 eV/f.u.
1.0
3.8279 0.0000 0.0000
1.1356 4.7166 0.0000
0.5468 0.4485 8.4885
Ca Y B
2 2 2
Cartesian
1.1825 1.1681 1.1923
4.3279 3.9971 7.2961
1.9970 1.6645 5.2814
3.5134 3.5007 3.2071
1.5469 4.2953 4.7184
3.9635 0.8699 3.7701


# 17
CaYB (PBE-GGA, optimized geometry); energy of formation from the pure elements = -0.171 eV per atom; excess energy over the best structure of this formula in the dataset = 0.09 eV/f.u.
1.0
2.9932 -1.7281 0.0000
2.9932 1.7281 0.0000
-0.0029 0.0000 13.5983
Ca Y B
2 2 2
Cartesian
0.0000 0.0000 0.0000
3.9917 0.0000 10.3020
1.9824 0.0000 3.3159
1.9826 0.0000 6.9858
3.9776 0.0000 5.1669
5.9732 0.0000 5.1348


# 18
CaYB (PBE-GGA, optimized geometry); energy of formation from the pure elements = -0.044 eV per atom; excess energy over the best structure of this formula in the dataset = 0.47 eV/f.u.
1.0
3.3361 0.0000 0.0000
0.0000 5.3442 0.0000
-1.6526 0.0000 8.5556
Ca Y B
2 2 2
Cartesian
0.0000 0.0000 0.0000
-0.0965 0.0000 4.2008
0.0139 2.6721 6.5405
1.6712 2.6721 2.0070
0.0085 2.6721 3.9381
1.6766 2.6721 4.5797


# 19
CaY3B (PBE-GGA, optimized geometry); energy of formation from the pure elements = 1.899 eV per atom; excess energy over the best structure of this formula in the dataset = 9.37 eV/f.u.
1.0
5.4397 0.0000 0.0000
0.0000 5.4397 0.0000
0.0000 0.0000 5.4397
Ca Y B
1 3 1
Cartesian
0.0000 0.0000 0.0000
0.0000 0.0000 2.7198
0.0000 2.7198 0.0000
2.7198 0.0000 0.0000
2.7198 2.7198 2.7198


# 20
CaYB (PBE-GGA, optimized geometry); energy of formation from the pure elements = -0.200 eV per atom; excess energy over the best structure of this formula in the dataset = 0.00 eV/f.u.
1.0
3.5978 0.0000 0.0000
0.0000 3.2866 0.0000
-1.8135 0.0000 12.6893
Ca Y B
2 2 2
Cartesian
-0.0047 0.8216 4.7744
1.7891 2.4649 7.9150
-0.0147 0.8216 11.0960
1.7991 2.4649 1.5934
-0.0001 0.8216 0.2943
1.7845 2.4649 12.3951


# 21
CaYB (PBE-GGA, optimized geometry); energy of formation from the pure elements = -0.003 eV per atom; excess energy over the best structure of this formula in the dataset = 0.59 eV/f.u.
1.0
3.6001 0.0000 0.0000
0.0000 5.8760 0.0000
0.0000 0.0000 7.3900
Ca Y B
2 2 2
Cartesian
0.0000 0.0000 0.0000
1.8000 2.9380 2.0313
1.8000 0.0000 3.8991
1.8000 2.9380 5.6201
0.0000 2.1171 3.9491
0.0000 3.7590 3.9491


# 22
CaYB (PBE-GGA, optimized geometry); energy of formation from the pure elements = 0.260 eV per atom; excess energy over the best structure of this formula in the dataset = 1.38 eV/f.u.
1.0
4.6758 0.0000 0.0000
-2.3379 4.0494 0.0000
0.0000 0.0000 6.5483
Ca Y B
2 2 2
Cartesian
0.0000 0.0000 0.0000
0.0000 0.0000 3.2742
0.0000 2.6996 1.6371
2.3379 1.3498 4.9112
0.0000 2.6996 4.9112
2.3379 1.3498 1.6371


# 23
CaYB (PBE-GGA, optimized geometry); energy of formation from the pure elements = -0.086 eV per atom; excess energy over the best structure of this formula in the dataset = 0.34 eV/f.u.
1.0
3.3069 0.0000 0.0000
0.0094 6.8694 0.0000
1.6325 2.0311 6.6913
Ca Y B
2 2 2
Cartesian
0.8232 2.1193 1.4564
4.1256 6.7812 5.2349
2.4590 3.2497 4.7526
2.4897 5.6508 1.9387
0.8361 6.6172 0.1959
4.1127 2.2833 6.4954


# 24
CaYB (PBE-GGA, optimized geometry); energy of formation from the pure elements = -0.136 eV per atom; excess energy over the best structure of this formula in the dataset = 0.19 eV/f.u.
1.0
3.3018 0.0000 0.0000
-1.6480 3.4125 0.0000
-0.0319 -2.0180 13.2250
Ca Y B
2 2 2
Cartesian
0.0000 0.0000 0.0000
0.0130 -0.0552 9.9646
0.0456 1.9618 3.2258
0.0476 1.9645 6.7372
0.0455 0.0106 4.9854
1.6972 0.5104 4.9782


# 25
CaYB (PBE-GGA, optimized geometry); energy of formation from the pure elements = 0.062 eV per atom; excess energy over the best structure of this formula in the dataset = 0.79 eV/f.u.
1.0
4.8664 0.0000 0.0000
-0.1805 5.0390 0.0000
-1.3876 -0.9963 6.2767
Ca Y B
2 2 2
Cartesian
0.0000 0.0000 0.0000
2.3142 2.5015 0.0745
-0.0765 2.5403 3.1131
2.4101 -0.0034 3.1656
2.3694 2.5449 4.1044
3.2949 1.5257 4.9879


# 26
CaY2ZnB (PBE-GGA, optimized geometry); energy of formation from the pure elements = 1.417 eV per atom
1.0
5.6581 0.0000 0.0000
0.0000 5.6581 0.0000
0.0000 0.0000 4.4193
Ca Y Zn B
1 2 1 1
Cartesian
0.0000 0.0000 0.0000
0.0000 2.8290 0.0000
2.8290 0.0000 0.0000
2.8290 2.8290 2.2096
0.0000 0.0000 2.2096


# 27
Ca2ZnB (PBE-GGA, optimized geometry); energy of formation from the pure elements = 0.534 eV per atom; excess energy over the best structure of this formula in the dataset = 1.01 eV/f.u.
1.0
-3.8270 3.8270 3.4323
3.8270 -3.8270 3.4323
3.8270 3.8270 -3.4323
Ca Zn B
4 2 2
Cartesian
5.7405 1.5123 -0.8581
1.5123 1.9135 0.8581
-1.9135 2.3147 2.5743
2.3147 1.9135 4.2904
3.8270 0.0000 1.7162
0.0000 0.0000 3.4323
0.0000 0.0000 0.0000
0.0000 3.8270 1.7162